[1]
Computed, not measured: crystalline Nd2ThUP4 at its relaxed geometry at the PBE level of DFT.

Its density of states at the Fermi level is 15.0 states/eV/cell. The calculation puts the calculated total energy at -0.2802 hartree per atom. Its total magnetization is 0.28 μB per atom. The formation enthalpy at 0 K comes out at -1.390 eV per atom.

It has space group I-4m2 (No. 119), with a = 5.804 Å, b = 5.804 Å, c = 11.605 Å, α = 90.00°, β = 90.00° and γ = 90.00°. The inequivalent atoms are Nd at (0.000, 0.000, 0.000), Nd at (0.000, 0.500, 0.250), Th at (0.000, 0.500, 0.750), U at (0.000, 0.000, 0.500), P at (0.000, 0.000, 0.260) and P at (0.000, 0.500, 0.501).

[2]
Computed, not measured: crystalline NdThU2P4 at its relaxed geometry at the PBE level of DFT.

Its density of states at the Fermi level is 10.3 states/eV/cell. The calculation puts the calculated total energy at -0.3050 hartree per atom. Its total magnetization is 0.53 μB per atom. The formation enthalpy at 0 K comes out at -1.249 eV per atom.

It has space group P2/m (No. 10), with a = 6.959 Å, b = 4.016 Å, c = 7.087 Å, α = 90.00°, β = 109.08° and γ = 90.00°. The inequivalent atoms are Nd at (0.000, 0.000, 0.000), Th at (0.500, 0.500, 0.000), U at (0.000, 0.500, 0.500), U at (0.500, 0.000, 0.500), P at (0.246, 0.000, 0.735) and P at (0.256, 0.500, 0.267).

[3]
Computed, not measured: crystalline Nd3Th2UP6 at its relaxed geometry at the PBE level of DFT.

Its density of states at the Fermi level is 22.0 states/eV/cell. The calculation puts the calculated total energy at -0.2765 hartree per atom. Its total magnetization is 0.20 μB per atom. The formation enthalpy at 0 K comes out at -1.450 eV per atom.

It has space group C2/m (No. 12), with a = 17.982 Å, b = 4.115 Å, c = 8.261 Å, α = 90.00°, β = 103.48° and γ = 90.00°. The inequivalent atoms are Nd at (0.000, 0.000, 0.000), Nd at (0.168, 0.500, 0.333), Th at (0.165, 0.500, 0.832), U at (0.000, 0.000, 0.500), P at (0.000, 0.500, 0.263), P at (0.162, 0.000, 0.582) and P at (0.168, 0.000, 0.081).

[4]
Computed, not measured: crystalline NdY2ThP4 at its relaxed geometry at the PBE level of DFT.

Its density of states at the Fermi level is 1.6 states/eV/cell. The calculation puts the calculated total energy at -0.2738 hartree per atom. Its total magnetization is 0.00 μB per atom. The formation enthalpy at 0 K comes out at -1.605 eV per atom.

It has space group P2/m (No. 10), with a = 7.055 Å, b = 4.092 Å, c = 7.082 Å, α = 90.00°, β = 109.49° and γ = 90.00°. The inequivalent atoms are Nd at (0.000, 0.000, 0.000), Y at (0.500, 0.000, 0.500), Y at (0.500, 0.500, 0.000), Th at (0.000, 0.500, 0.500), P at (0.257, 0.000, 0.750) and P at (0.257, 0.500, 0.255).

[5]
Computed, not measured: crystalline Nd3YTh2P6 at its relaxed geometry at the PBE level of DFT.

Its density of states at the Fermi level is 4.6 states/eV/cell. The calculation puts the calculated total energy at -0.2666 hartree per atom. Its total magnetization is 0.00 μB per atom. The formation enthalpy at 0 K comes out at -1.583 eV per atom.

It has space group C2/m (No. 12), with a = 7.159 Å, b = 12.412 Å, c = 7.166 Å, α = 90.00°, β = 109.44° and γ = 90.00°. The inequivalent atoms are Nd at (0.000, 0.000, 0.000), Nd at (0.000, 0.333, 0.000), Y at (0.000, 0.500, 0.500), Th at (0.000, 0.167, 0.500), P at (0.247, 0.334, 0.743) and P at (0.250, 0.000, 0.744).

[6]
Computed, not measured: crystalline Nd4YTh3P8 at its relaxed geometry at the PBE level of DFT.

Its density of states at the Fermi level is 15.5 states/eV/cell. The calculation puts the calculated total energy at -0.2671 hartree per atom. Its total magnetization is 0.00 μB per atom. The formation enthalpy at 0 K comes out at -1.577 eV per atom.

It has space group R-3m (No. 166, hexagonal axes), with a = 8.2829 Å, b = 8.2829 Å, c = 20.2983 Å, α = 90.00°, β = 90.00° and γ = 120.00°. The inequivalent atoms are Nd at (0.0000, 0.0000, 0.0000), Nd at (0.0000, 0.5000, 0.0000), Y at (0.0000, 0.0000, 0.5000), Th at (0.0000, 0.5000, 0.5000), P at (0.0000, 0.0000, 0.2487) and P at (0.0019, 0.5010, 0.2478).